{"formula": "MgBe2Fe", "functional": "GGA-PBE", "state": "optimized geometry", "n_ef_per_ev_fu": 2.12, "energy_ev_per_cell": -17.34, "lattice_angstrom": [[2.813, 0.000, 0.000], [0.000, 2.814, 0.000], [0.000, 0.000, 5.669]], "species": ["Be", "Be", "Mg", "Fe"], "frac_coords": [[0.000, 0.000, 0.435], [0.000, 0.000, 0.065], [0.500, 0.500, 0.750], [0.500, 0.500, 0.250]]}